The following is a DFT calculation (PBEsol) of a relaxed structure of KP2W6O22.

abc: 5.3735 6.6830 11.9565
angles: 92.74 90.00 90.00
Element x y z (fractional)
1 P 0.0000 0.3328 0.5954
2 P 0.5000 0.6677 0.4028
3 K 0.0000 0.8537 0.5087
4 W 0.0000 0.3527 0.3133
5 W 0.5000 0.6434 0.6860
6 W 0.0000 0.9934 0.8112
7 W 0.5000 0.0065 0.1897
8 W 0.0000 0.6704 0.0605
9 W 0.5000 0.3290 0.9403
10 O 0.7656 0.4596 0.6163
11 O 0.2607 0.5474 0.3827
12 O 0.7393 0.5474 0.3827
13 O 0.2344 0.4596 0.6163
14 O 0.0000 0.2490 0.4719
15 O 0.5000 0.7510 0.5270
16 O 0.2482 0.1827 0.2676
17 O 0.7491 0.8170 0.7306
18 O 0.2509 0.8170 0.7306
19 O 0.7518 0.1827 0.2676
20 O 0.0000 0.1480 0.6667
21 O 0.5000 0.8547 0.3336
22 O 0.0000 0.8278 0.9307
23 O 0.5000 0.1711 0.0693
24 O 0.2497 0.8432 0.1310
25 O 0.7497 0.1555 0.8696
26 O 0.2503 0.1555 0.8696
27 O 0.7503 0.8432 0.1310
28 O 0.0000 0.5045 0.1921
29 O 0.5000 0.4941 0.8076
30 O 0.7499 0.4997 0.0000
31 O 0.2501 0.4997 0.0000

Values from the calculation:
electronic total energy: -9.02 eV/atom
ρ: 6.02 g cm⁻³
spin magnetization: 0.000 μB per formula unit



The following is a DFT calculation (PBEsol) of a relaxed structure of KYP4O12.

abc: 7.3135 7.3135 10.4396
angles: 101.10 101.10 115.25
Element x y z (fractional)
1 K 0.8149 0.1851 0.7500
2 K 0.1851 0.8149 0.2500
3 O 0.1845 0.2459 0.1755
4 O 0.7541 0.8155 0.3245
5 O 0.8155 0.7541 0.8245
6 O 0.2459 0.1845 0.6755
7 O 0.1343 0.1577 0.9136
8 O 0.8423 0.8657 0.5864
9 O 0.8657 0.8423 0.0864
10 O 0.1577 0.1343 0.4136
11 O 0.2710 0.5319 0.0661
12 O 0.4681 0.7290 0.4339
13 O 0.7290 0.4681 0.9339
14 O 0.5319 0.2710 0.5661
15 O 0.3606 0.5008 0.5898
16 O 0.4992 0.6394 0.9102
17 O 0.6394 0.4992 0.4102
18 O 0.5008 0.3606 0.0898
19 O 0.0859 0.4849 0.3849
20 O 0.5151 0.9141 0.1151
21 O 0.9141 0.5151 0.6151
22 O 0.4849 0.0859 0.8849
23 O 0.2970 0.8127 0.6031
24 O 0.1873 0.7030 0.8969
25 O 0.7030 0.1873 0.3969
26 O 0.8127 0.2970 0.1031
27 P 0.2544 0.3038 0.0578
28 P 0.6962 0.7456 0.4422
29 P 0.7456 0.6962 0.9422
30 P 0.3038 0.2544 0.5578
31 P 0.2841 0.6271 0.5034
32 P 0.3729 0.7159 0.9966
33 P 0.7159 0.3729 0.4966
34 P 0.6271 0.2841 0.0034
35 Y 0.8808 0.1192 0.2500
36 Y 0.1192 0.8808 0.7500

Values from the calculation:
electronic total energy: -7.71 eV/atom
ρ: 3.13 g cm⁻³
spin magnetization: 0.000 μB per formula unit



The following is a DFT calculation (PBEsol) of a relaxed structure of K2YZrP3O12.

abc: 10.3594 10.3594 10.3594
angles: 90.00 90.00 90.00
Element x y z (fractional)
1 K 0.0675 0.0675 0.0675
2 K 0.1959 0.6959 0.8041
3 K 0.3041 0.3041 0.3041
4 K 0.4325 0.9325 0.5675
5 K 0.5675 0.4325 0.9325
6 K 0.6959 0.8041 0.1959
7 K 0.8041 0.1959 0.6959
8 K 0.9325 0.5675 0.4325
9 Y 0.1463 0.3537 0.6463
10 Y 0.3537 0.6463 0.1463
11 Y 0.6463 0.1463 0.3537
12 Y 0.8537 0.8537 0.8537
13 Zr 0.0880 0.9120 0.4120
14 Zr 0.4120 0.0880 0.9120
15 Zr 0.5880 0.5880 0.5880
16 Zr 0.9120 0.4120 0.0880
17 P 0.0328 0.7271 0.1299
18 P 0.1299 0.0328 0.7271
19 P 0.2271 0.3701 0.9672
20 P 0.2729 0.6299 0.4672
21 P 0.3701 0.9672 0.2271
22 P 0.4672 0.2729 0.6299
23 P 0.5328 0.7729 0.8701
24 P 0.6299 0.4672 0.2729
25 P 0.7271 0.1299 0.0328
26 P 0.7729 0.8701 0.5328
27 P 0.8701 0.5328 0.7729
28 P 0.9672 0.2271 0.3701
29 O 0.9935 0.5834 0.1473
30 O 0.0254 0.7896 0.2661
31 O 0.0439 0.9363 0.7992
32 O 0.0637 0.2992 0.4561
33 O 0.0747 0.1699 0.7346
34 O 0.0834 0.3527 0.0065
35 O 0.1473 0.9935 0.5834
36 O 0.1699 0.7346 0.0747
37 O 0.2104 0.7661 0.4746
38 O 0.2008 0.5439 0.5637
39 O 0.2346 0.4253 0.8301
40 O 0.2339 0.9746 0.2896
41 O 0.2661 0.0254 0.7896
42 O 0.2654 0.5747 0.3301
43 O 0.2992 0.4561 0.0637
44 O 0.2896 0.2339 0.9746
45 O 0.3301 0.2654 0.5747
46 O 0.3527 0.0065 0.0834
47 O 0.4166 0.6473 0.5065
48 O 0.4253 0.8301 0.2346
49 O 0.4363 0.7008 0.9561
50 O 0.4561 0.0637 0.2992
51 O 0.4746 0.2104 0.7661
52 O 0.5065 0.4166 0.6473
53 O 0.4935 0.9166 0.8527
54 O 0.5254 0.7104 0.7339
55 O 0.5439 0.5637 0.2008
56 O 0.5637 0.2008 0.5439
57 O 0.5747 0.3301 0.2654
58 O 0.5834 0.1473 0.9935
59 O 0.6473 0.5065 0.4166
60 O 0.6699 0.7654 0.9253
61 O 0.7104 0.7339 0.5254
62 O 0.7008 0.9561 0.4363
63 O 0.7346 0.0747 0.1699
64 O 0.7339 0.5254 0.7104
65 O 0.7661 0.4746 0.2104
66 O 0.7654 0.9253 0.6699
67 O 0.7992 0.0439 0.9363
68 O 0.7896 0.2661 0.0254
69 O 0.8301 0.2346 0.4253
70 O 0.8527 0.4935 0.9166
71 O 0.9166 0.8527 0.4935
72 O 0.9253 0.6699 0.7654
73 O 0.9363 0.7992 0.0439
74 O 0.9561 0.4363 0.7008
75 O 0.9746 0.2896 0.2339
76 O 0.0065 0.0834 0.3527

Values from the calculation:
electronic total energy: -7.96 eV/atom
ρ: 3.25 g cm⁻³
spin magnetization: 0.000 μB per formula unit



The following is a DFT calculation (PBEsol) of a relaxed structure of KZn4P3O12.

abc: 8.1756 9.6328 13.8861
angles: 90.00 90.00 90.00
Element x y z (fractional)
1 K 0.2500 0.1939 0.7500
2 K 0.7500 0.8061 0.2500
3 K 0.7500 0.3061 0.2500
4 K 0.2500 0.6939 0.7500
5 Zn 0.3944 0.6917 0.0515
6 Zn 0.1056 0.1917 0.0515
7 Zn 0.8944 0.8083 0.9485
8 Zn 0.5875 0.0040 0.8547
9 Zn 0.4125 0.9960 0.1453
10 Zn 0.5875 0.5040 0.6453
11 Zn 0.6056 0.3083 0.9485
12 Zn 0.4125 0.4960 0.3547
13 Zn 0.8944 0.3083 0.5515
14 Zn 0.1056 0.6917 0.4485
15 Zn 0.9125 0.5040 0.8547
16 Zn 0.0875 0.4960 0.1453
17 Zn 0.6056 0.8083 0.5515
18 Zn 0.3944 0.1917 0.4485
19 Zn 0.9125 0.0040 0.6453
20 Zn 0.0875 0.9960 0.3547
21 P 0.7541 0.5658 0.4346
22 P 0.2459 0.4342 0.5654
23 P 0.7459 0.0658 0.4346
24 P 0.7500 0.2464 0.7500
25 P 0.2500 0.2536 0.2500
26 P 0.2541 0.9342 0.5654
27 P 0.2500 0.7536 0.2500
28 P 0.7459 0.5658 0.0654
29 P 0.7541 0.0658 0.0654
30 P 0.2459 0.9342 0.9346
31 P 0.2541 0.4342 0.9346
32 P 0.7500 0.7464 0.7500
33 O 0.0959 0.3427 0.2379
34 O 0.3825 0.3227 0.9115
35 O 0.6175 0.6773 0.0885
36 O 0.6310 0.5648 0.3504
37 O 0.6310 0.0648 0.1496
38 O 0.2635 0.1547 0.1601
39 O 0.2365 0.1547 0.3399
40 O 0.8293 0.4219 0.4474
41 O 0.1707 0.0781 0.9474
42 O 0.8404 0.1090 0.5300
43 O 0.7365 0.8453 0.8399
44 O 0.1175 0.3227 0.5885
45 O 0.5959 0.6573 0.7379
46 O 0.8825 0.1773 0.0885
47 O 0.8293 0.9219 0.0526
48 O 0.3293 0.0781 0.5526
49 O 0.6707 0.9219 0.4474
50 O 0.4041 0.8427 0.2379
51 O 0.8825 0.6773 0.4115
52 O 0.6596 0.1090 0.9700
53 O 0.6175 0.1773 0.4115
54 O 0.1310 0.9352 0.6496
55 O 0.9041 0.6573 0.7621
56 O 0.1175 0.8227 0.9115
57 O 0.1707 0.5781 0.5526
58 O 0.1310 0.4352 0.8504
59 O 0.3690 0.4352 0.6496
60 O 0.8690 0.5648 0.1496
61 O 0.3404 0.3910 0.4700
62 O 0.8404 0.6090 0.9700
63 O 0.3293 0.5781 0.9474
64 O 0.6596 0.6090 0.5300
65 O 0.9041 0.1573 0.7379
66 O 0.2635 0.6547 0.3399
67 O 0.3404 0.8910 0.0300
68 O 0.3690 0.9352 0.8504
69 O 0.7635 0.8453 0.6601
70 O 0.4041 0.3427 0.2621
71 O 0.1596 0.3910 0.0300
72 O 0.8690 0.0648 0.3504
73 O 0.5959 0.1573 0.7621
74 O 0.7635 0.3453 0.8399
75 O 0.0959 0.8427 0.2621
76 O 0.6707 0.4219 0.0526
77 O 0.7365 0.3453 0.6601
78 O 0.1596 0.8910 0.4700
79 O 0.3825 0.8227 0.5885
80 O 0.2365 0.6547 0.1601

Values from the calculation:
electronic total energy: -6.41 eV/atom
ρ: 3.56 g cm⁻³
spin magnetization: 0.000 μB per formula unit